1.
Compound: NpH11Rh5
Source: Alexandria
Functional: PBE
Structure: relaxed

The structure in POSCAR format:
```
NpH11Rh5
1.0
3.6840 -4.0409 0.0000
3.6840 4.0409 0.0000
-1.5857 0.0000 4.8785
Np H Rh
1 11 5
direct
0.0000 0.0000 0.0000
0.0000 0.0000 0.5000
0.1588 0.6707 0.6461
0.1990 0.4598 0.0916
0.3139 0.3139 0.6768
0.3293 0.8412 0.3539
0.4598 0.1990 0.0916
0.5402 0.8010 0.9084
0.6707 0.1588 0.6461
0.6861 0.6861 0.3232
0.8010 0.5402 0.9084
0.8412 0.3293 0.3539
0.0140 0.6409 0.2855
0.3591 0.9860 0.7145
0.5000 0.5000 0.0000
0.6409 0.0140 0.2855
0.9860 0.3591 0.7145
```

Results
Volume (Å³ per cell): 145
Calculated total energy (eV/atom): -5.095
Symmetry: No. 12



2.
Compound: Np3H12Rh5
Source: Alexandria
Functional: PBE
Structure: relaxed

The structure in POSCAR format:
```
Np3H12Rh5
1.0
-5.8195 5.8195 5.8195
5.8195 -5.8195 5.8195
5.8195 5.8195 -5.8195
Np H Rh
12 48 20
direct
0.1250 0.2500 0.3750
0.1250 0.3750 0.7500
0.2500 0.3750 0.1250
0.2500 0.8750 0.6250
0.3750 0.1250 0.2500
0.3750 0.7500 0.1250
0.6250 0.2500 0.8750
0.6250 0.8750 0.7500
0.7500 0.1250 0.3750
0.7500 0.6250 0.8750
0.8750 0.6250 0.2500
0.8750 0.7500 0.6250
0.0167 0.1901 0.1005
0.0167 0.3266 0.9163
0.0837 0.6005 0.4103
0.0837 0.9833 0.6734
0.0897 0.6901 0.6734
0.0897 0.8995 0.4163
0.1005 0.0167 0.1901
0.1005 0.5837 0.9103
0.1734 0.1901 0.5897
0.1734 0.4833 0.5837
0.1901 0.1005 0.0167
0.1901 0.5897 0.1734
0.3099 0.3266 0.9103
0.3099 0.4833 0.3995
0.3266 0.9103 0.3099
0.3266 0.9163 0.0167
0.3995 0.3099 0.4833
0.3995 0.5897 0.9163
0.4103 0.0837 0.6005
0.4103 0.8266 0.8099
0.4163 0.0897 0.8995
0.4163 0.8266 0.5167
0.4833 0.3995 0.3099
0.4833 0.5837 0.1734
0.5167 0.4163 0.8266
0.5167 0.6005 0.6901
0.5837 0.1734 0.4833
0.5837 0.9103 0.1005
0.5897 0.1734 0.1901
0.5897 0.9163 0.3995
0.6005 0.4103 0.0837
0.6005 0.6901 0.5167
0.6734 0.0837 0.9833
0.6734 0.0897 0.6901
0.6901 0.5167 0.6005
0.6901 0.6734 0.0897
0.8099 0.4103 0.8266
0.8099 0.8995 0.9833
0.8266 0.5167 0.4163
0.8266 0.8099 0.4103
0.8995 0.4163 0.0897
0.8995 0.9833 0.8099
0.9103 0.1005 0.5837
0.9103 0.3099 0.3266
0.9163 0.0167 0.3266
0.9163 0.3995 0.5897
0.9833 0.6734 0.0837
0.9833 0.8099 0.8995
0.0000 0.0000 0.0000
0.0000 0.0000 0.5000
0.0000 0.5000 0.0000
0.0000 0.5000 0.5000
0.1250 0.7500 0.8750
0.1250 0.8750 0.2500
0.2500 0.1250 0.8750
0.2500 0.6250 0.3750
0.3750 0.2500 0.6250
0.3750 0.6250 0.7500
0.5000 0.0000 0.0000
0.5000 0.0000 0.5000
0.5000 0.5000 0.0000
0.5000 0.5000 0.5000
0.6250 0.3750 0.2500
0.6250 0.7500 0.3750
0.7500 0.3750 0.6250
0.7500 0.8750 0.1250
0.8750 0.1250 0.7500
0.8750 0.2500 0.1250
```

Results
Volume (Å³ per cell): 788
Calculated total energy (eV/atom): -5.895
Symmetry: No. 230



Number 1: spin magnetization 0.172 μB per atom. Number 2: spin magnetization 0.608 μB per atom.